[1]
First-principles (PBE-GGA) data for a relaxed structure of LaHoTeO6, as listed in Alexandria.

Cell: 5.599 5.599 10.073 Å, 90.00 90.00 120.00°
Fractional coordinates of all 18 atoms:
La  0.000  0.000  0.000
La  0.000  0.000  0.500
Ho  0.333  0.667  0.250
Ho  0.667  0.333  0.750
Te  0.333  0.667  0.750
Te  0.667  0.333  0.250
O  0.041  0.381  0.640
O  0.041  0.660  0.860
O  0.340  0.381  0.860
O  0.340  0.959  0.640
O  0.381  0.041  0.140
O  0.381  0.340  0.360
O  0.619  0.660  0.640
O  0.619  0.959  0.860
O  0.660  0.041  0.360
O  0.660  0.619  0.140
O  0.959  0.340  0.140
O  0.959  0.619  0.360

Results
Final energy ... -7.199 eV per atom
Uncorrected formation energy ... -2.489 eV/atom
M_tot ... 0.0 μB per formula unit
Density of states at the Fermi level ... 0.0 states/eV per cell



[2]
First-principles (PBE-GGA) data for a relaxed structure of La2HoTlO, as listed in Alexandria.

Cell: 5.127 5.127 4.757 Å, 90.00 90.00 90.00°
Fractional coordinates of all 5 atoms:
La  0.000  0.500  0.000
La  0.500  0.000  0.000
Ho  0.000  0.000  0.500
Tl  0.500  0.500  0.500
O  0.000  0.000  0.000

Results
Final energy ... -5.707 eV per atom
Uncorrected formation energy ... -1.355 eV/atom
M_tot ... 0.0 μB per formula unit
Density of states at the Fermi level ... 2.7 states/eV per cell



[3]
First-principles (PBE-GGA) data for a relaxed structure of LaHoUO6, as listed in Alexandria.

Cell: 5.823 5.823 9.898 Å, 90.00 90.00 120.00°
Fractional coordinates of all 18 atoms:
La  0.000  0.000  0.000
La  0.000  0.000  0.500
Ho  0.333  0.667  0.250
Ho  0.667  0.333  0.750
U  0.333  0.667  0.750
U  0.667  0.333  0.250
O  0.021  0.365  0.639
O  0.021  0.656  0.861
O  0.344  0.365  0.861
O  0.344  0.979  0.639
O  0.365  0.021  0.139
O  0.365  0.344  0.361
O  0.635  0.656  0.639
O  0.635  0.979  0.861
O  0.656  0.021  0.361
O  0.656  0.635  0.139
O  0.979  0.344  0.139
O  0.979  0.635  0.361

Results
Final energy ... -9.002 eV per atom
Uncorrected formation energy ... -3.386 eV/atom
M_tot ... 0.0 μB per formula unit
Density of states at the Fermi level ... 0.0 states/eV per cell



[4]
First-principles (PBE-GGA) data for a relaxed structure of LaHoOs4, as listed in Alexandria.

Cell: 5.418 5.418 5.418 Å, 60.00 60.00 60.00°
Fractional coordinates of all 6 atoms:
La  0.000  0.000  0.000
Ho  0.750  0.750  0.750
Os  0.375  0.375  0.375
Os  0.375  0.375  0.874
Os  0.375  0.874  0.375
Os  0.874  0.375  0.375

Results
Final energy ... -9.204 eV per atom
E_form ... -0.13 eV per atom
M_tot ... 0.0 μB per formula unit
Density of states at the Fermi level ... 6.6 states/eV per cell



[5]
First-principles (PBE-GGA) data for a relaxed structure of LaHo2Os, as listed in Alexandria.

Cell: 7.430 9.239 6.469 Å, 90.00 90.00 90.00°
Fractional coordinates of all 16 atoms:
La  0.047  0.250  0.133
La  0.453  0.750  0.633
La  0.547  0.250  0.367
La  0.953  0.750  0.867
Ho  0.172  0.066  0.664
Ho  0.172  0.434  0.664
Ho  0.328  0.566  0.164
Ho  0.328  0.934  0.164
Ho  0.672  0.066  0.836
Ho  0.672  0.434  0.836
Ho  0.828  0.566  0.336
Ho  0.828  0.934  0.336
Os  0.121  0.750  0.450
Os  0.379  0.250  0.950
Os  0.621  0.750  0.050
Os  0.879  0.250  0.550

Results
Final energy ... -6.554 eV per atom
E_form ... -0.23 eV per atom
M_tot ... 0.0 μB per formula unit
Density of states at the Fermi level ... 16.3 states/eV per cell
Energy above the most stable polymorph in this dataset ... 0.000 eV/atom



[6]
First-principles (PBE-GGA) data for a relaxed structure of LaHo2Os, as listed in Alexandria.

Cell: 3.417 3.417 9.430 Å, 90.00 90.00 90.00°
Fractional coordinates of all 4 atoms:
La  0.000  0.000  0.000
Ho  0.500  0.500  0.326
Ho  0.500  0.500  0.674
Os  0.000  0.000  0.500

Results
Final energy ... -6.481 eV per atom
E_form ... -0.15 eV per atom
M_tot ... 0.0 μB per formula unit
Density of states at the Fermi level ... 2.9 states/eV per cell
Energy above the most stable polymorph in this dataset ... 0.073 eV/atom